{"formula": "GaGeBr", "functional": "GGA-PBE", "state": "relaxed", "cell": [[3.947, 0.000, 0.000], [0.000, 4.262, -0.830], [0.000, -0.154, 10.569]], "species": ["Br", "Br", "Ge", "Ge", "Ga", "Ga"], "frac_coords": [[0.250, 0.674, 0.348], [0.750, 0.326, 0.652], [0.750, 0.036, 0.072], [0.250, 0.964, 0.928], [0.250, 0.406, 0.812], [0.750, 0.594, 0.188]], "volume_a3_per_atom": 29.55, "e_tot_ev_per_cell": -21.0, "polymorph_energy_ev_per_atom": 0.000, "dos_at_fermi_per_ev_atom": 0.069}